Entry 1:
Compound: K2Mo
Source: Alexandria via LeMat-Bulk
Functional: PBE
Structure: relaxed

The calculation puts the offset from the most stable computed form at 0.0 meV/atom. The calculation puts the magnetization at 0.0634 μB per atom. The density of states at the Fermi level is 11.93 states/eV per cell. The value obtained for the formation energy is 820 meV per atom.

The structure belongs to space group C2/m (No. 12); the cell edges are 13.6198, 3.4115 and 11.4470 Å and the angles 90.00°, 111.55° and 90.00°. Symmetry generates all atoms from K at (0.0173, 0.0000, 0.1737), K at (0.1661, 0.5000, 0.6280) and Mo at (0.2259, 0.5000, 0.0538).

Entry 2:
Compound: K2Mo
Source: Alexandria via LeMat-Bulk
Functional: PBE
Structure: relaxed

The calculation puts the offset from the most stable computed form at 106.3 meV/atom. The calculation puts the magnetization at 0.1144 μB per atom. The density of states at the Fermi level is 10.76 states/eV per cell. The value obtained for the formation energy is 927 meV per atom.

The structure belongs to space group Cmcm (No. 63); the cell edges are 20.1182, 8.2071 and 3.4779 Å and the angles 90.00°, 90.00° and 90.00°. Symmetry generates all atoms from K at (0.1436, 0.2435, 0.2500) and Mo at (0.0000, 0.0960, 0.7500).

Entry 3:
Compound: K3Mo
Source: Alexandria via LeMat-Bulk
Functional: PBE
Structure: relaxed

The calculation puts the offset from the most stable computed form at 418.7 meV/atom. The calculation puts the magnetization at 1.2774 μB per atom. The density of states at the Fermi level is 4.98 states/eV per cell. The value obtained for the formation energy is 1151 meV per atom.

The structure belongs to space group I4/mmm (No. 139); the cell edges are 6.4942, 6.4942 and 9.2515 Å and the angles 90.00°, 90.00° and 90.00°. Symmetry generates all atoms from K at (0.0000, 0.0000, 0.0000), K at (0.0000, 0.5000, 0.2500) and Mo at (0.0000, 0.0000, 0.5000).

Entry 4:
Compound: KMo
Source: Alexandria via LeMat-Bulk
Functional: PBE
Structure: relaxed

The calculation puts the offset from the most stable computed form at 971.2 meV/atom. The calculation puts the magnetization at 0.0000 μB per atom. The density of states at the Fermi level is 5.81 states/eV per cell. The value obtained for the formation energy is 1717 meV per atom.

The structure belongs to space group P4_2/mnm (No. 136); the cell edges are 7.1338, 7.1338 and 7.1703 Å and the angles 90.00°, 90.00° and 90.00°. Symmetry generates all atoms from K at (0.1675, 0.1675, 0.0000) and Mo at (0.0993, 0.0993, 0.5000).

Entry 5:
Compound: K2Mo
Source: Alexandria via LeMat-Bulk
Functional: PBE
Structure: relaxed

The calculation puts the offset from the most stable computed form at 711.3 meV/atom. The calculation puts the magnetization at 1.6257 μB per atom. The density of states at the Fermi level is 3.89 states/eV per cell. The value obtained for the formation energy is 1532 meV per atom.

The structure belongs to space group I4/mmm (No. 139); the cell edges are 4.1566, 4.1566 and 16.5201 Å and the angles 90.00°, 90.00° and 90.00°. Symmetry generates all atoms from K at (0.0000, 0.0000, 0.1374) and Mo at (0.0000, 0.0000, 0.5000).

Entry 6:
Compound: KMoN2
Source: Alexandria via LeMat-Bulk
Functional: PBE
Structure: relaxed

The calculation puts the offset from the most stable computed form at 555.2 meV/atom. The calculation puts the magnetization at 0.2126 μB per atom. The density of states at the Fermi level is 6.38 states/eV per cell. For the uncorrected formation energy, the calculation gives 0.6 eV per formula unit.

The structure belongs to space group R-3m (No. 166, hexagonal axes); the cell edges are 3.1148, 3.1148 and 21.3463 Å and the angles 90.00°, 90.00° and 120.00°. Symmetry generates all atoms from K at (0.0000, 0.0000, 0.0000), Mo at (0.0000, 0.0000, 0.5000) and N at (0.0000, 0.0000, 0.1162).

Entry 7:
Compound: K5Mo2N5
Source: Alexandria via LeMat-Bulk
Functional: PBE
Structure: relaxed

The calculation puts the magnetization at 0.0382 μB per atom. The density of states at the Fermi level is 7.09 states/eV per cell. For the uncorrected formation energy, the calculation gives -2.8 eV per formula unit.

The structure belongs to space group C2/m (No. 12); the cell edges are 16.5378, 3.5448 and 9.8796 Å and the angles 90.00°, 100.63° and 90.00°. Symmetry generates all atoms from K at (0.0000, 0.0000, 0.0000), K at (0.1245, 0.0000, 0.4503), K at (0.2376, 0.5000, 0.1868), Mo at (0.0381, 0.5000, 0.6972), N at (0.0000, 0.5000, 0.5000), N at (0.0510, 0.5000, 0.2280) and N at (0.0914, 0.0000, 0.7383).

Entry 8:
Compound: KMo2N2
Source: Alexandria via LeMat-Bulk
Functional: PBE
Structure: relaxed

The calculation puts the offset from the most stable computed form at 0.0 meV/atom. The calculation puts the magnetization at 0.0000 μB per atom. The density of states at the Fermi level is 3.44 states/eV per cell. For the uncorrected formation energy, the calculation gives 0.5 eV per formula unit.

The structure belongs to space group I4/mmm (No. 139); the cell edges are 3.5574, 3.5574 and 12.9034 Å and the angles 90.00°, 90.00° and 90.00°. Symmetry generates all atoms from K at (0.0000, 0.0000, 0.0000), Mo at (0.0000, 0.5000, 0.2500) and N at (0.0000, 0.0000, 0.3515).